(1)
Below is an optimized crystal structure of Fe2Os, with properties calculated at the PBE level.

Calculated values
Crystal system   tetragonal
M_tot   0.57 μB per cell
Space group   I4_1/amd

a = 11.3073 Å, b = 11.3073 Å, c = 11.3073 Å
α = 161.50°, β = 161.50°, γ = 26.27°
Element x y z (fractional)
Fe: 0.0425 0.7925 0.2500
Fe: 0.1238 0.3738 0.7500
Fe: 0.2075 0.9575 0.2500
Fe: 0.3738 0.1238 0.2500
Fe: 0.6262 0.8762 0.7500
Fe: 0.7925 0.0425 0.7500
Fe: 0.8762 0.6262 0.2500
Fe: 0.9575 0.2075 0.7500
Os: 0.2935 0.5435 0.7500
Os: 0.4565 0.7065 0.7500
Os: 0.5435 0.2935 0.2500
Os: 0.7065 0.4565 0.2500

=====

(2)
Below is an optimized crystal structure of Fe2Os3, with properties calculated at the PBE level.

Calculated values
Crystal system   orthorhombic
M_tot   6.13 μB per cell
Space group   Fdd2

a = 8.0268 Å, b = 4.7369 Å, c = 7.3777 Å
α = 79.75°, β = 35.50°, γ = 64.75°
Element x y z (fractional)
Fe: 0.2157 0.7843 0.4302
Fe: 0.6802 0.8198 0.4657
Fe: 0.7843 0.2157 0.5698
Fe: 0.8198 0.6802 0.0343
Os: 0.1521 0.2431 0.0188
Os: 0.2312 0.6640 0.0979
Os: 0.2431 0.1521 0.5860
Os: 0.4805 0.4805 0.5195
Os: 0.6640 0.2312 0.0069
Os: 0.7305 0.7305 0.7695

=====

(3)
Below is an optimized crystal structure of FeOs2, with properties calculated at the PBE level.

Calculated values
Crystal system   orthorhombic
M_tot   4.81 μB per cell
Space group   Cmcm

a = 2.7105 Å, b = 13.7833 Å, c = 4.2757 Å
α = 90.00°, β = 90.00°, γ = 90.00°
Element x y z (fractional)
Fe: 0.0000 0.2246 0.2500
Fe: 0.0000 0.7754 0.7500
Fe: 0.5000 0.2754 0.7500
Fe: 0.5000 0.7246 0.2500
Os: 0.0000 0.1177 0.7500
Os: 0.0000 0.4411 0.7500
Os: 0.0000 0.5589 0.2500
Os: 0.0000 0.8823 0.2500
Os: 0.5000 0.0589 0.2500
Os: 0.5000 0.3823 0.2500
Os: 0.5000 0.6177 0.7500
Os: 0.5000 0.9411 0.7500

=====

| no. | uncorrected energy (eV per cell) |
| --- | --- |
| 1 | -111.093 |
| 2 | -96.990 |
| 3 | -122.747 |